First-principles (PBE) data for an optimized crystal structure of Cs2AcAu, as listed in the Alexandria database.

Output
energy relative to the elements = 0.1586 eV/atom
DOS at the Fermi energy = 0.510 states/eV/atom

Cell: 4.2457 4.2457 13.4931 Å, 80.95 80.95 60.00°
With the nearest neighbours (Å) after each atom.
Fractional positions:
1 Cs 0.1043 0.1043 0.6872  3 Au 3.49
2 Cs 0.8957 0.8957 0.3128  3 Au 3.49
3 Ac 0.0000 0.0000 0.0000  2 Cs 4.15, 6 Ac 4.25
4 Au 0.5000 0.5000 0.5000  6 Cs 3.49